Entry 1:
A relaxed SrCo2Br crystal. Source: Alexandria via LeMat-Bulk, functional PBE.

The structure in POSCAR format:
```
SrCo2Br
1.0
-1.862 2.927 4.153
1.862 -2.927 4.153
1.862 2.927 -4.153
Sr Co Br
1 2 1
Direct
0.000 0.000 0.000 Sr
0.532 0.532 0.000 Co
0.681 0.181 0.500 Co
0.317 0.817 0.500 Br
```

## Properties
D(E_F) = 3.7 states/eV per cell
formation energy without anion corrections = 0.183 eV per atom
E = -4.209 eV/atom
distance to the lowest polymorph of the same formula = 0.302 eV per atom

Entry 2:
A relaxed Sr2CoBr6 crystal. Source: Alexandria via LeMat-Bulk, functional PBE.

The structure in POSCAR format:
```
Sr2CoBr6
1.0
7.483 -2.164 0.000
7.483 2.164 0.000
-6.011 0.000 10.436
Sr Co Br
2 1 6
Direct
0.191 0.191 0.302 Sr
0.809 0.809 0.698 Sr
0.500 0.500 0.000 Co
0.153 0.153 0.533 Br
0.319 0.319 0.903 Br
0.487 0.487 0.796 Br
0.513 0.513 0.204 Br
0.681 0.681 0.097 Br
0.847 0.847 0.467 Br
```

## Properties
D(E_F) = 5.7 states/eV per cell
formation energy without anion corrections = -1.415 eV per atom
E = -3.694 eV/atom

Entry 3:
A relaxed SrCoBr2 crystal. Source: Alexandria via LeMat-Bulk, functional PBE.

The structure in POSCAR format:
```
SrCoBr2
1.0
2.696 -2.865 0.000
2.696 2.865 0.000
0.000 0.000 7.084
Sr Co Br
1 1 2
Direct
0.000 0.000 0.000 Sr
0.000 0.000 0.500 Co
0.500 0.500 0.242 Br
0.500 0.500 0.758 Br
```

## Properties
D(E_F) = 0.8 states/eV per cell
formation energy without anion corrections = -0.353 eV per atom
E = -3.386 eV/atom
distance to the lowest polymorph of the same formula = 0.365 eV per atom

Entry 4:
A relaxed SrCo2Br crystal. Source: Alexandria via LeMat-Bulk, functional PBE.

The structure in POSCAR format:
```
SrCo2Br
1.0
0.000 3.388 3.388
3.388 0.000 3.388
3.388 3.388 0.000
Sr Co Br
1 2 1
Direct
0.000 0.000 0.000 Sr
0.250 0.250 0.250 Co
0.750 0.750 0.750 Co
0.500 0.500 0.500 Br
```

## Properties
D(E_F) = 3.4 states/eV per cell
formation energy without anion corrections = 0.841 eV per atom
E = -3.550 eV/atom
distance to the lowest polymorph of the same formula = 0.960 eV per atom

Entry 5:
A relaxed SrCoBr4 crystal. Source: Alexandria via LeMat-Bulk, functional PBE.

The structure in POSCAR format:
```
SrCoBr4
1.0
-4.957 4.957 4.255
4.957 -4.957 4.255
4.957 4.957 -4.255
Sr Co Br
2 2 8
Direct
0.375 0.625 0.750 Sr
0.625 0.375 0.250 Sr
0.125 0.875 0.250 Co
0.875 0.125 0.750 Co
0.123 0.690 0.433 Br
0.242 0.310 0.933 Br
0.310 0.242 0.433 Br
0.310 0.877 0.067 Br
0.690 0.123 0.933 Br
0.690 0.758 0.567 Br
0.758 0.690 0.067 Br
0.877 0.310 0.567 Br
```

## Properties
formation energy without anion corrections = -1.170 eV per atom
E = -3.750 eV/atom
distance to the lowest polymorph of the same formula = 0.000 eV per atom

Entry 6:
A relaxed SrCoBr2 crystal. Source: Alexandria via LeMat-Bulk, functional PBE.

The structure in POSCAR format:
```
SrCoBr2
1.0
5.145 0.000 0.000
0.000 4.024 0.000
-0.630 0.000 5.174
Sr Co Br
1 1 2
Direct
0.000 0.000 0.000 Sr
0.500 0.000 0.500 Co
0.298 0.500 0.704 Br
0.702 0.500 0.296 Br
```

## Properties
D(E_F) = 1.4 states/eV per cell
formation energy without anion corrections = -0.526 eV per atom
E = -3.560 eV/atom
distance to the lowest polymorph of the same formula = 0.191 eV per atom

Entry 7:
A relaxed SrCo2Br crystal. Source: Alexandria via LeMat-Bulk, functional PBE.

The structure in POSCAR format:
```
SrCo2Br
1.0
4.017 0.000 0.000
0.000 4.017 0.000
0.000 0.000 5.579
Sr Co Br
1 2 1
Direct
0.000 0.000 0.000 Sr
0.000 0.500 0.500 Co
0.500 0.000 0.500 Co
0.500 0.500 0.000 Br
```

## Properties
D(E_F) = 3.5 states/eV per cell
formation energy without anion corrections = 0.380 eV per atom
E = -4.012 eV/atom
distance to the lowest polymorph of the same formula = 0.499 eV per atom

Entry 8:
A relaxed SrCoBr2 crystal. Source: Alexandria via LeMat-Bulk, functional PBE.

The structure in POSCAR format:
```
SrCoBr2
1.0
7.130 -2.149 0.000
7.130 2.149 0.000
-0.198 0.000 4.602
Sr Co Br
1 1 2
Direct
0.000 0.000 0.000 Sr
0.500 0.500 0.500 Co
0.361 0.361 0.241 Br
0.639 0.639 0.759 Br
```

## Properties
D(E_F) = 5.8 states/eV per cell
formation energy without anion corrections = -0.718 eV per atom
E = -3.751 eV/atom
distance to the lowest polymorph of the same formula = 0.000 eV per atom

Entry 9:
A relaxed SrCo2Br crystal. Source: Alexandria via LeMat-Bulk, functional PBE.

The structure in POSCAR format:
```
SrCo2Br
1.0
3.944 0.000 0.000
-1.972 3.416 0.000
0.000 0.000 7.018
Sr Co Br
1 2 1
Direct
0.000 0.000 0.000 Sr
0.333 0.667 0.344 Co
0.667 0.333 0.300 Co
0.333 0.667 0.701 Br
```

## Properties
D(E_F) = 3.0 states/eV per cell
formation energy without anion corrections = -0.119 eV per atom
E = -4.511 eV/atom
distance to the lowest polymorph of the same formula = 0.000 eV per atom

Entry 10:
A relaxed SrCo2Br crystal. Source: Alexandria via LeMat-Bulk, functional PBE.

The structure in POSCAR format:
```
SrCo2Br
1.0
3.425 0.000 0.000
0.000 3.425 0.000
0.000 0.000 7.985
Sr Co Br
1 2 1
Direct
0.000 0.000 0.000 Sr
0.000 0.000 0.643 Co
0.500 0.500 0.695 Co
0.500 0.500 0.229 Br
```

## Properties
D(E_F) = 2.9 states/eV per cell
formation energy without anion corrections = 0.007 eV per atom
E = -4.385 eV/atom
distance to the lowest polymorph of the same formula = 0.126 eV per atom

Entry 11:
A relaxed SrCoBr2 crystal. Source: Alexandria via LeMat-Bulk, functional PBE.

The structure in POSCAR format:
```
SrCoBr2
1.0
-2.130 2.130 5.760
2.130 -2.130 5.760
2.130 2.130 -5.760
Sr Co Br
1 1 2
Direct
0.000 0.000 0.000 Sr
0.750 0.250 0.500 Co
0.250 0.750 0.500 Br
0.500 0.500 0.000 Br
```

## Properties
D(E_F) = 6.7 states/eV per cell
formation energy without anion corrections = -0.427 eV per atom
E = -3.460 eV/atom
distance to the lowest polymorph of the same formula = 0.291 eV per atom

Entry 12:
A relaxed SrCo2Br crystal. Source: Alexandria via LeMat-Bulk, functional PBE.

The structure in POSCAR format:
```
SrCo2Br
1.0
-2.385 2.385 7.808
2.385 -2.385 7.808
2.385 2.385 -7.808
Sr Co Br
2 4 2
Direct
0.375 0.625 0.750 Sr
0.625 0.375 0.250 Sr
0.000 0.000 0.000 Co
0.000 0.000 0.500 Co
0.000 0.500 0.000 Co
0.500 0.000 0.500 Co
0.125 0.875 0.250 Br
0.875 0.125 0.750 Br
```

## Properties
D(E_F) = 5.8 states/eV per cell
formation energy without anion corrections = 0.284 eV per atom
E = -4.108 eV/atom
distance to the lowest polymorph of the same formula = 0.403 eV per atom

Entry 13:
A relaxed SrCoBr2 crystal. Source: Alexandria via LeMat-Bulk, functional PBE.

The structure in POSCAR format:
```
SrCoBr2
1.0
4.242 0.000 0.000
0.000 4.242 0.000
0.000 0.000 6.136
Sr Co Br
1 1 2
Direct
0.000 0.000 0.000 Sr
0.500 0.500 0.727 Co
0.000 0.000 0.523 Br
0.500 0.500 0.110 Br
```

## Properties
D(E_F) = 3.2 states/eV per cell
formation energy without anion corrections = -0.480 eV per atom
E = -3.513 eV/atom
distance to the lowest polymorph of the same formula = 0.238 eV per atom

Entry 14:
A relaxed SrCoBr2 crystal. Source: Alexandria via LeMat-Bulk, functional PBE.

The structure in POSCAR format:
```
SrCoBr2
1.0
2.020 1.166 8.667
-2.020 1.166 8.667
0.000 -2.333 8.667
Sr Co Br
1 1 2
Direct
0.000 0.000 0.000 Sr
0.500 0.500 0.500 Co
0.116 0.116 0.116 Br
0.884 0.884 0.884 Br
```

## Properties
D(E_F) = 2.2 states/eV per cell
formation energy without anion corrections = -0.373 eV per atom
E = -3.406 eV/atom
distance to the lowest polymorph of the same formula = 0.345 eV per atom

Entry 15:
A relaxed SrCoBr2 crystal. Source: Alexandria via LeMat-Bulk, functional PBE.

The structure in POSCAR format:
```
SrCoBr2
1.0
-1.893 1.998 7.788
1.893 -1.998 7.788
1.893 1.998 -7.788
Sr Co Br
1 1 2
Direct
0.000 0.000 0.000 Sr
0.844 0.344 0.500 Co
0.342 0.842 0.500 Br
0.595 0.595 0.000 Br
```

## Properties
D(E_F) = 4.5 states/eV per cell
formation energy without anion corrections = -0.586 eV per atom
E = -3.619 eV/atom
distance to the lowest polymorph of the same formula = 0.132 eV per atom

Entry 16:
A relaxed SrCoBr2 crystal. Source: Alexandria via LeMat-Bulk, functional PBE.

The structure in POSCAR format:
```
SrCoBr2
1.0
-1.942 2.728 4.729
1.942 -2.728 4.729
1.942 2.728 -4.729
Sr Co Br
1 1 2
Direct
0.000 0.000 0.000 Sr
0.500 0.500 0.000 Co
0.326 0.826 0.500 Br
0.674 0.174 0.500 Br
```

## Properties
D(E_F) = 2.1 states/eV per cell
formation energy without anion corrections = -0.644 eV per atom
E = -3.677 eV/atom
distance to the lowest polymorph of the same formula = 0.074 eV per atom

Entry 17:
A relaxed SrCo2Br crystal. Source: Alexandria via LeMat-Bulk, functional PBE.

The structure in POSCAR format:
```
SrCo2Br
1.0
3.451 0.000 0.000
0.000 1.767 7.209
0.000 -1.767 7.209
Sr Co Br
1 2 1
Direct
0.000 0.000 0.000 Sr
0.000 0.670 0.670 Co
0.500 0.185 0.185 Co
0.500 0.373 0.373 Br
```

## Properties
D(E_F) = 2.2 states/eV per cell
formation energy without anion corrections = -0.021 eV per atom
E = -4.413 eV/atom
distance to the lowest polymorph of the same formula = 0.098 eV per atom

Entry 18:
A relaxed SrCo2Br crystal. Source: Alexandria via LeMat-Bulk, functional PBE.

The structure in POSCAR format:
```
SrCo2Br
1.0
4.091 0.000 0.000
0.000 4.448 0.000
0.000 0.000 4.973
Sr Co Br
1 2 1
Direct
0.000 0.000 0.000 Sr
0.500 0.500 0.222 Co
0.500 0.500 0.778 Co
0.500 0.000 0.500 Br
```

## Properties
D(E_F) = 3.9 states/eV per cell
formation energy without anion corrections = 0.184 eV per atom
E = -4.207 eV/atom
distance to the lowest polymorph of the same formula = 0.303 eV per atom

Entry 19:
A relaxed SrCo2Br crystal. Source: Alexandria via LeMat-Bulk, functional PBE.

The structure in POSCAR format:
```
SrCo2Br
1.0
0.000 3.484 3.484
3.484 0.000 3.484
3.484 3.484 0.000
Sr Co Br
1 2 1
Direct
0.000 0.000 0.000 Sr
0.250 0.250 0.250 Co
0.500 0.500 0.500 Co
0.750 0.750 0.750 Br
```

## Properties
D(E_F) = 5.7 states/eV per cell
formation energy without anion corrections = 0.550 eV per atom
E = -3.841 eV/atom
distance to the lowest polymorph of the same formula = 0.669 eV per atom

Entry 20:
A relaxed SrCoBr2 crystal. Source: Alexandria via LeMat-Bulk, functional PBE.

The structure in POSCAR format:
```
SrCoBr2
1.0
2.498 1.442 6.925
-2.498 1.442 6.925
0.000 -2.885 6.925
Sr Co Br
1 1 2
Direct
0.000 0.000 0.000 Sr
0.500 0.500 0.500 Co
0.392 0.392 0.392 Br
0.608 0.608 0.608 Br
```

## Properties
D(E_F) = 6.2 states/eV per cell
formation energy without anion corrections = -0.532 eV per atom
E = -3.565 eV/atom
distance to the lowest polymorph of the same formula = 0.186 eV per atom

Entry 21:
A relaxed SrCo2Br crystal. Source: Alexandria via LeMat-Bulk, functional PBE.

The structure in POSCAR format:
```
SrCo2Br
1.0
3.866 0.000 0.000
0.000 3.866 0.000
0.000 0.000 5.848
Sr Co Br
1 2 1
Direct
0.000 0.000 0.000 Sr
0.500 0.500 0.311 Co
0.500 0.500 0.689 Co
0.000 0.000 0.500 Br
```

## Properties
D(E_F) = 5.0 states/eV per cell
formation energy without anion corrections = 0.594 eV per atom
E = -3.797 eV/atom
distance to the lowest polymorph of the same formula = 0.713 eV per atom

Entry 22:
A relaxed SrCoBr4 crystal. Source: Alexandria via LeMat-Bulk, functional PBE.

The structure in POSCAR format:
```
SrCoBr4
1.0
0.000 4.550 4.550
4.550 0.000 4.550
4.550 4.550 0.000
Sr Co Br
1 1 4
Direct
0.000 0.000 0.000 Sr
0.250 0.250 0.250 Co
0.126 0.625 0.625 Br
0.625 0.126 0.625 Br
0.625 0.625 0.126 Br
0.625 0.625 0.625 Br
```

## Properties
D(E_F) = 13.2 states/eV per cell
formation energy without anion corrections = 0.195 eV per atom
E = -2.385 eV/atom
distance to the lowest polymorph of the same formula = 1.365 eV per atom

Entry 23:
A relaxed SrCoBr5 crystal. Source: Alexandria via LeMat-Bulk, functional PBE.

The structure in POSCAR format:
```
SrCoBr5
1.0
5.654 -5.239 0.000
5.654 5.239 0.000
-5.548 0.000 9.630
Sr Co Br
2 2 10
Direct
0.000 0.000 0.000 Sr
0.000 0.000 0.500 Sr
0.408 0.592 0.750 Co
0.592 0.408 0.250 Co
0.099 0.901 0.250 Br
0.252 0.675 0.558 Br
0.270 0.361 0.185 Br
0.325 0.748 0.942 Br
0.361 0.270 0.685 Br
0.639 0.730 0.315 Br
0.675 0.252 0.058 Br
0.730 0.639 0.815 Br
0.748 0.325 0.442 Br
0.901 0.099 0.750 Br
```

## Properties
D(E_F) = 12.1 states/eV per cell
formation energy without anion corrections = -0.983 eV per atom
E = -3.433 eV/atom

Entry 24:
A relaxed SrCoBr2 crystal. Source: Alexandria via LeMat-Bulk, functional PBE.

The structure in POSCAR format:
```
SrCoBr2
1.0
0.000 3.824 3.824
3.824 0.000 3.824
3.824 3.824 0.000
Sr Co Br
1 1 2
Direct
0.000 0.000 0.000 Sr
0.750 0.750 0.750 Co
0.250 0.250 0.250 Br
0.500 0.500 0.500 Br
```

## Properties
D(E_F) = 6.6 states/eV per cell
formation energy without anion corrections = -0.179 eV per atom
E = -3.212 eV/atom
distance to the lowest polymorph of the same formula = 0.539 eV per atom

Entry 25:
A relaxed SrCoBr2 crystal. Source: Alexandria via LeMat-Bulk, functional PBE.

The structure in POSCAR format:
```
SrCoBr2
1.0
4.031 0.000 0.000
0.000 4.748 0.000
0.000 0.000 5.212
Sr Co Br
1 1 2
Direct
0.000 0.000 0.000 Sr
0.000 0.500 0.500 Co
0.500 0.000 0.500 Br
0.500 0.500 0.000 Br
```

## Properties
D(E_F) = 2.0 states/eV per cell
formation energy without anion corrections = -0.454 eV per atom
E = -3.488 eV/atom
distance to the lowest polymorph of the same formula = 0.264 eV per atom

Entry 26:
A relaxed Sr3CoBr crystal. Source: Alexandria via LeMat-Bulk, functional PBE.

The structure in POSCAR format:
```
Sr3CoBr
1.0
5.732 0.000 0.000
0.000 5.732 0.000
0.000 0.000 5.732
Sr Co Br
3 1 1
Direct
0.000 0.000 0.500 Sr
0.000 0.500 0.000 Sr
0.500 0.000 0.000 Sr
0.000 0.000 0.000 Co
0.500 0.500 0.500 Br
```

## Properties
D(E_F) = 6.0 states/eV per cell
formation energy without anion corrections = -0.159 eV per atom
E = -2.924 eV/atom
distance to the lowest polymorph of the same formula = 0.000 eV per atom

Entry 27:
A relaxed SrCo2Br crystal. Source: Alexandria via LeMat-Bulk, functional PBE.

The structure in POSCAR format:
```
SrCo2Br
1.0
5.610 -1.808 0.000
5.610 1.808 0.000
-1.497 0.000 5.021
Sr Co Br
1 2 1
Direct
0.000 0.000 0.000 Sr
0.286 0.286 0.123 Co
0.714 0.714 0.877 Co
0.500 0.500 0.500 Br
```

## Properties
D(E_F) = 1.6 states/eV per cell
formation energy without anion corrections = 0.084 eV per atom
E = -4.308 eV/atom
distance to the lowest polymorph of the same formula = 0.203 eV per atom

Entry 28:
A relaxed SrCoBr2 crystal. Source: Alexandria via LeMat-Bulk, functional PBE.

The structure in POSCAR format:
```
SrCoBr2
1.0
3.656 -4.377 0.000
3.656 4.377 0.000
-3.620 0.000 3.876
Sr Co Br
1 1 2
Direct
0.000 0.000 0.000 Sr
0.500 0.500 0.000 Co
0.000 0.500 0.500 Br
0.500 0.000 0.500 Br
```

## Properties
D(E_F) = 4.7 states/eV per cell
formation energy without anion corrections = -0.427 eV per atom
E = -3.460 eV/atom
distance to the lowest polymorph of the same formula = 0.291 eV per atom